Entry 1:
A relaxed YRe crystal. Source: Alexandria via LeMat-Bulk, functional PBE.

Output
**DOS at the Fermi energy**: 1.460 states/eV/f.u.
**Energy of formation**: 0.521 eV/atom
**Space group**: Cmmm, No. 65

Unit cell a=4.885 b=3.419 c=4.706 alpha=90.00 beta=90.00 gamma=90.00
Sites, in units of the cell vectors:
1 Re 0.500 0.000 0.000
2 Re 0.000 0.500 0.000
3 Y 0.500 0.500 0.500
4 Y 0.000 0.000 0.500


Entry 2:
A relaxed Pm2PdPt crystal. Source: Alexandria via LeMat-Bulk, functional PBE.

Output
**Polymorph energy (0 for the lowest one)**: 32 kJ/mol of formula units
**DOS at the Fermi energy**: 2.797 states/eV/f.u.
**Energy of formation**: -0.934 eV/atom
**Space group**: P4/mmm, No. 123

Unit cell a=3.532 b=5.115 c=5.115 alpha=90.00 beta=90.00 gamma=90.00
Sites, in units of the cell vectors:
1 Pt 0.500 0.000 0.000
2 Pm 0.000 0.500 0.000
3 Pm 0.000 0.000 0.500
4 Pd 0.500 0.500 0.500


Entry 3:
A relaxed SiSb2 crystal. Source: Alexandria via LeMat-Bulk, functional PBE.

Output
**Polymorph energy (0 for the lowest one)**: 69 kJ/mol of formula units
**DOS at the Fermi energy**: 1.787 states/eV/f.u.
**Formation energy without anion corrections**: 0.42 eV per atom
**Space group**: P4/mmm, No. 123

Unit cell a=4.578 b=4.578 c=3.759 alpha=90.00 beta=90.00 gamma=90.00
Sites, in units of the cell vectors:
1 Sb 0.500 0.000 0.500
2 Sb 0.000 0.500 0.500
3 Si 0.000 0.000 0.000